## La2HfGeB (GGA-PBE)

Data for La2HfGeB after structural relaxation.

a b c (Å): 5.5946 5.5946 5.0607
angles (deg): 90.00 90.00 90.00
With the nearest neighbours (Å) after each atom.
Element x y z (fractional)
1 La 0.0000 0.5000 0.0000  2 Hf 2.80
2 La 0.5000 0.0000 0.0000  2 Hf 2.80
3 Hf 0.0000 0.0000 0.0000  2 Ge 2.53, 4 La 2.80
4 Ge 0.0000 0.0000 0.5000  2 Hf 2.53
5 B 0.5000 0.5000 0.5000  8 La 3.77, 4 Ge 3.96

Calculated values
- DOS(E_F): 5.82 states/eV/f.u.
- Energy of formation: 1.163 eV/atom
- Symmetry: P4/mmm

## YTa2Zn (GGA-PBE)

Data for YTa2Zn after structural relaxation.

a b c (Å): 5.6611 5.6611 5.0430
angles (deg): 106.48 106.48 31.01
With the nearest neighbours (Å) after each atom.
Element x y z (fractional)
1 Y 0.0000 0.0000 0.0000  4 Zn 2.94, 2 Y 3.03, 6 Ta 3.17-3.26
2 Ta 0.2275 0.2275 0.7272  2 Zn 2.84, 6 Ta 2.91-3.05, 1 Y 3.17
3 Ta 0.7725 0.7725 0.2728  2 Zn 2.84, 6 Ta 2.91-3.05, 1 Y 3.17
4 Zn 0.5000 0.5000 0.5000  4 Ta 2.84, 4 Y 2.94, 2 Zn 3.03

Calculated values
- DOS(E_F): 3.60 states/eV/f.u.
- Energy of formation: 0.199 eV/atom
- Symmetry: C2/m

## Ba3TcTe (GGA-PBE)

Data for Ba3TcTe after structural relaxation.

a b c (Å): 5.8151 5.8151 5.8151
angles (deg): 90.00 90.00 90.00
With the nearest neighbours (Å) after each atom.
Element x y z (fractional)
1 Ba 0.0000 0.0000 0.5000  2 Tc 2.91
2 Ba 0.0000 0.5000 0.0000  2 Tc 2.91
3 Ba 0.5000 0.0000 0.0000  2 Tc 2.91
4 Tc 0.0000 0.0000 0.0000  6 Ba 2.91
5 Te 0.5000 0.5000 0.5000  12 Ba 4.11

Calculated values
- Distance to the lowest polymorph of the same formula: 0.0000 eV/atom
- DOS(E_F): 2.70 states/eV/f.u.
- Raw formation energy: -0.134 eV/atom
- Symmetry: Pm-3m

## TaTlP2 (GGA-PBE)

Data for TaTlP2 after structural relaxation.

a b c (Å): 3.3130 3.3130 8.6992
angles (deg): 90.00 90.00 90.00
With the nearest neighbours (Å) after each atom.
Element x y z (fractional)
1 Ta 0.0000 0.0000 0.0000  5 P 2.33-2.52
2 Tl 0.5000 0.5000 0.4800  5 P 3.21-3.26, 4 Tl 3.31
3 P 0.0000 0.0000 0.7326  1 Ta 2.33
4 P 0.5000 0.5000 0.1056  4 Ta 2.52

Calculated values
- Distance to the lowest polymorph of the same formula: 0.2354 eV/atom
- DOS(E_F): 1.44 states/eV/f.u.
- Energy of formation: 0.034 eV/atom
- Symmetry: P4mm

## KPmO2 (GGA-PBE)

Data for KPmO2 after structural relaxation.

a b c (Å): 3.0933 3.0933 6.5624
angles (deg): 90.00 90.00 90.00
With the nearest neighbours (Å) after each atom.
Element x y z (fractional)
1 K 0.0000 0.0000 0.0000  8 O 2.95, 4 K 3.09, 2 Pm 3.28
2 Pm 0.0000 0.0000 0.5000  8 O 2.54
3 O 0.5000 0.5000 0.3019  4 Pm 2.54, 1 O 2.60
4 O 0.5000 0.5000 0.6981  4 Pm 2.54, 1 O 2.60

Calculated values
- Distance to the lowest polymorph of the same formula: 0.4556 eV/atom
- Raw formation energy: -2.190 eV/atom
- Symmetry: P4/mmm

## NiRhPb (GGA-PBE)

Data for NiRhPb after structural relaxation.

a b c (Å): 4.2508 4.2508 4.2508
angles (deg): 60.00 60.00 60.00
With the nearest neighbours (Å) after each atom.
Element x y z (fractional)
1 Ni 0.0000 0.0000 0.0000  4 Pb 2.60, 4 Rh 2.60
2 Rh 0.7500 0.7500 0.7500  4 Ni 2.60
3 Pb 0.2500 0.2500 0.2500  4 Ni 2.60

Calculated values
- DOS(E_F): 3.64 states/eV/f.u.
- Energy of formation: 0.219 eV/atom
- Symmetry: F-43m

no.,total moment (μB/atom)
1,0.001
2,0.000
3,0.000
4,0.000
5,0.000
6,0.000